1.
DFT (PBE-GGA) results for a relaxed Tb2DyTm7 crystal.

ΔH_f (0 K): 0.71 eV per atom
calculated density: 7.411 Mg/m³

a b c (Å): 5.063 9.591 9.591
angles (deg): 126.88 90.00 90.00
Fractional positions:
Tb 0.500 0.701 0.299
Tb 0.500 0.299 0.701
Dy 0.000 0.000 0.000
Tm 0.000 0.806 0.194
Tm 0.000 0.194 0.806
Tm 0.500 0.072 0.286
Tm 0.500 0.928 0.714
Tm 0.500 0.286 0.072
Tm 0.500 0.714 0.928
Tm 0.500 0.500 0.500

2.
DFT (PBE-GGA) results for a relaxed Tb2Dy6Tm crystal.

ΔH_f (0 K): 0.02 eV per atom
calculated density: 8.654 Mg/m³

a b c (Å): 3.536 8.644 12.726
angles (deg): 132.76 82.01 90.08
Fractional positions:
Tb 0.445 0.778 0.111
Tb 0.555 0.222 0.889
Dy 0.888 0.555 0.222
Dy 0.112 0.445 0.778
Dy 0.666 0.667 0.667
Dy 0.778 0.112 0.445
Dy 0.222 0.888 0.555
Dy 0.334 0.333 0.333
Tm 0.000 0.000 0.000

3.
DFT (PBE-GGA) results for a relaxed Tb7Dy3Tm crystal.

energy above the most stable polymorph in this dataset: 0.0 kJ/mol of atoms
ΔH_f (0 K): 0.14 eV per atom
calculated density: 8.289 Mg/m³

a b c (Å): 5.514 9.894 8.870
angles (deg): 106.16 128.44 89.99
Fractional positions:
Tb 0.913 0.830 0.913
Tb 0.854 0.709 0.354
Tb 0.682 0.360 0.182
Tb 0.318 0.640 0.818
Tb 0.500 0.000 0.500
Tb 0.146 0.291 0.646
Tb 0.087 0.170 0.087
Dy 0.280 0.001 0.781
Dy 0.000 0.500 0.000
Dy 0.720 0.999 0.219
Tm 0.500 0.500 0.500

4.
DFT (PBE-GGA) results for a relaxed TbDy2Tm2 crystal.

energy above the most stable polymorph in this dataset: 6.4 kJ/mol of atoms
ΔH_f (0 K): 0.09 eV per atom
calculated density: 8.738 Mg/m³

a b c (Å): 9.202 9.202 3.688
angles (deg): 90.00 90.00 90.00
Fractional positions:
Tb 0.000 0.000 0.000
Tb 0.500 0.500 0.000
Dy 0.127 0.627 0.000
Dy 0.627 0.873 0.000
Dy 0.873 0.373 0.000
Dy 0.373 0.127 0.000
Tm 0.330 0.830 0.500
Tm 0.830 0.670 0.500
Tm 0.670 0.170 0.500
Tm 0.170 0.330 0.500

Number 1: uncorrected energy -3.8057 eV per atom, density of states at the Fermi level 12.13 states/eV/f.u.. Number 2: uncorrected energy -4.5765 eV per atom, density of states at the Fermi level 12.19 states/eV/f.u.. Number 3: uncorrected energy -4.4686 eV per atom, density of states at the Fermi level 16.56 states/eV/f.u.. Number 4: uncorrected energy -4.4681 eV per atom, density of states at the Fermi level 4.05 states/eV/f.u..